The following is a PBEsol calculation of CaAsSe2N after structural relaxation, from Alexandria.

extended XYZ file:
```
5
Lattice="3.692 0.000 0.000 0.000 5.159 0.000 0.000 0.000 5.159" Properties=species:S:1:pos:R:3 pbc="T T T"
As 0.000 0.000 0.000
Ca 1.846 2.579 2.579
Se 0.000 0.000 2.579
Se 0.000 2.579 0.000
N 1.846 0.000 0.000
```

Its uncorrected formation energy is -0.13 eV/atom. As for the crystal system: tetragonal. For the uncorrected energy, the calculation gives -0.3548 Ry per atom.



The following is a PBEsol calculation of NaCaAs2 after structural relaxation, from Alexandria.

extended XYZ file:
```
4
Lattice="-4.693 1.666 -0.188 -3.545 -2.225 2.705 -1.972 2.342 3.932" Properties=species:S:1:pos:R:3 pbc="T T T"
Na 0.000 0.000 0.000
As -2.552 0.446 1.612
As -7.657 1.337 4.836
Ca -5.105 0.892 3.224
```

As for the crystal system: cubic. Its formation energy from the elements is -489.2 meV/atom. For the uncorrected energy, the calculation gives -0.2885 Ry per atom.



The following is a PBEsol calculation of Na3CaAs after structural relaxation, from Alexandria.

extended XYZ file:
```
5
Lattice="-0.119 -5.576 -0.050 5.574 -0.118 -0.159 0.158 -0.054 5.575" Properties=species:S:1:pos:R:3 pbc="T T T"
Na 2.787 -0.059 -0.080
Na 0.079 -0.027 2.788
Na -0.060 -2.788 -0.025
As 0.000 0.000 0.000
Ca 2.807 -2.874 2.683
```

As for the crystal system: cubic. Its formation energy from the elements is -49.1 meV/atom. For the uncorrected energy, the calculation gives -0.1718 Ry per atom.



Q: uncorrected energy of number 1 (CaAsSe2N)?
A: -0.3548 Ry per atom



What did the second record say?
The following is a PBEsol calculation of NaCaAs2 after structural relaxation, from Alexandria.

extended XYZ file:
```
4
Lattice="-4.693 1.666 -0.188 -3.545 -2.225 2.705 -1.972 2.342 3.932" Properties=species:S:1:pos:R:3 pbc="T T T"
Na 0.000 0.000 0.000
As -2.552 0.446 1.612
As -7.657 1.337 4.836
Ca -5.105 0.892 3.224
```

As for the crystal system: cubic. Its formation energy from the elements is -489.2 meV/atom. For the uncorrected energy, the calculation gives -0.2885 Ry per atom.



Q: The lowest uncorrected energy belongs to which entry?
A: CaAsSe2N



Q: The highest uncorrected energy belongs to which entry?
A: Na3CaAs